Compound: Tb2Pr3Tm
Source: Alexandria via LeMat-Bulk
Functional: GGA-PBE
Structure: optimized geometry Values from VASP.

Structure (Quantum ESPRESSO input):
```
&SYSTEM
  ibrav = 0, nat = 12, ntyp = 3
/
ATOMIC_SPECIES
Pr 140.91 Pr.upf
Tm 168.93 Tm.upf
Tb 158.93 Tb.upf
ATOMIC_POSITIONS angstrom
Pr 5.153 -0.997 4.934
Tm 2.670 -2.060 -1.745
Tb 6.702 0.053 1.931
Pr 2.483 1.063 6.678
Pr 3.257 -0.022 0.880
Tb 4.379 -3.134 2.138
Tb 1.709 -1.073 3.882
Pr 0.819 -3.270 0.982
Pr 5.928 -2.083 -0.865
Pr 3.489 -5.330 -0.762
Tm 0.000 0.000 0.000
Tb 4.032 2.114 3.675
CELL_PARAMETERS angstrom
-1.033 -4.479 3.709
5.341 -4.120 -3.489
4.102 7.580 5.593
```

Computed properties:
Calculated volume = 407 Å³ per cell
Energy = -27.519 eV per formula unit
SG = Cmmm (65)
Polymorph energy (0 for the lowest one) = 0.078 eV per atom
Calculated formation energy = 91.9 meV/atom

=====

Compound: SrAsF3
Source: Alexandria via LeMat-Bulk
Functional: GGA-PBE
Structure: optimized geometry Values from VASP.

Structure (Quantum ESPRESSO input):
```
&SYSTEM
  ibrav = 0, nat = 5, ntyp = 3
/
ATOMIC_SPECIES
As 74.92 As.upf
F 19.00 F.upf
Sr 87.62 Sr.upf
ATOMIC_POSITIONS angstrom
As 0.000 0.000 0.000
F 0.000 0.000 2.282
F 2.282 0.000 0.000
F 0.000 2.282 0.000
Sr 2.282 2.282 2.282
CELL_PARAMETERS angstrom
4.564 0.000 0.000
0.000 4.564 0.000
0.000 0.000 4.564
```

Computed properties:
Calculated volume = 95 Å³ per cell
Energy = -21.093 eV per formula unit
SG = Pm-3m (221)
Formation energy (no corrections) = -1.830 eV/atom
Polymorph energy (0 for the lowest one) = 0.186 eV per atom

=====

Compound: PrHfAl2
Source: Alexandria via LeMat-Bulk
Functional: GGA-PBE
Structure: optimized geometry Values from VASP.

Structure (Quantum ESPRESSO input):
```
&SYSTEM
  ibrav = 0, nat = 4, ntyp = 3
/
ATOMIC_SPECIES
Al 26.98 Al.upf
Hf 178.49 Hf.upf
Pr 140.91 Pr.upf
ATOMIC_POSITIONS angstrom
Al 4.928 2.845 7.609
Hf 0.000 0.000 0.000
Al 1.643 0.948 2.246
Pr 3.285 1.897 4.927
CELL_PARAMETERS angstrom
3.285 0.000 0.000
1.643 2.845 0.000
1.643 0.948 9.855
```

Computed properties:
Calculated volume = 92 Å³ per cell
Energy = -22.308 eV per formula unit
SG = R-3m (166)
Polymorph energy (0 for the lowest one) = 0.239 eV per atom
Calculated formation energy = -22.4 meV/atom

=====

Compound: PrHoInSn
Source: Alexandria via LeMat-Bulk
Functional: GGA-PBE
Structure: optimized geometry Values from VASP.

Structure (Quantum ESPRESSO input):
```
&SYSTEM
  ibrav = 0, nat = 4, ntyp = 4
/
ATOMIC_SPECIES
In 114.82 In.upf
Sn 118.71 Sn.upf
Ho 164.93 Ho.upf
Pr 140.91 Pr.upf
ATOMIC_POSITIONS angstrom
In 0.000 0.000 4.827
Sn 2.318 2.188 1.009
Ho 0.000 0.000 1.583
Pr 2.318 2.188 4.221
CELL_PARAMETERS angstrom
4.636 0.000 0.000
0.000 4.377 0.000
-2.318 0.000 5.820
```

Computed properties:
Calculated volume = 118 Å³ per cell
Energy = -18.520 eV per formula unit
SG = Amm2 (38)
Polymorph energy (0 for the lowest one) = 0.000 eV per atom
Calculated formation energy = -605.4 meV/atom

=====

Compound: FeBiB2H
Source: Alexandria via LeMat-Bulk
Functional: GGA-PBE
Structure: optimized geometry Values from VASP.

Structure (Quantum ESPRESSO input):
```
&SYSTEM
  ibrav = 0, nat = 5, ntyp = 4
/
ATOMIC_SPECIES
B 10.81 B.upf
H 1.01 H.upf
Bi 208.98 Bi.upf
Fe 55.84 Fe.upf
ATOMIC_POSITIONS angstrom
B 1.016 1.709 0.642
H 0.000 0.000 0.000
Bi -1.322 2.949 1.040
B -1.397 1.200 -0.985
Fe -0.941 0.040 1.383
CELL_PARAMETERS angstrom
-2.794 2.401 -1.970
-1.881 0.079 2.765
2.031 3.417 1.284
```

Computed properties:
Calculated volume = 58 Å³ per cell
Energy = -21.999 eV per formula unit
SG = P4/mmm (123)
Polymorph energy (0 for the lowest one) = 0.000 eV per atom

=====

Compound: CaMn2Os
Source: Alexandria via LeMat-Bulk
Functional: GGA-PBE
Structure: optimized geometry Values from VASP.

Structure (Quantum ESPRESSO input):
```
&SYSTEM
  ibrav = 0, nat = 4, ntyp = 3
/
ATOMIC_SPECIES
Os 190.23 Os.upf
Ca 40.08 Ca.upf
Mn 54.94 Mn.upf
ATOMIC_POSITIONS angstrom
Os -1.610 2.980 0.797
Ca -1.953 0.393 2.057
Mn -4.922 1.294 1.315
Mn -8.789 2.311 2.347
CELL_PARAMETERS angstrom
-4.227 3.789 -0.039
-4.914 -1.385 2.481
5.578 0.971 0.412
```

Computed properties:
Calculated volume = 73 Å³ per cell
Energy = -29.247 eV per formula unit
SG = Immm (71)
Polymorph energy (0 for the lowest one) = 0.261 eV per atom
Calculated formation energy = 581.0 meV/atom

=====

Compound: Li4PrMg
Source: Alexandria via LeMat-Bulk
Functional: GGA-PBE
Structure: optimized geometry Values from VASP.

Structure (Quantum ESPRESSO input):
```
&SYSTEM
  ibrav = 0, nat = 6, ntyp = 3
/
ATOMIC_SPECIES
Li 6.94 Li.upf
Pr 140.91 Pr.upf
Mg 24.30 Mg.upf
ATOMIC_POSITIONS angstrom
Li 5.747 3.318 0.563
Pr 2.874 1.659 1.173
Li 5.747 1.636 2.941
Mg 0.000 0.000 0.000
Li 7.203 4.159 2.941
Li 4.291 4.159 2.941
CELL_PARAMETERS angstrom
5.747 0.000 0.000
2.874 4.977 0.000
2.874 1.659 4.692
```

Computed properties:
Calculated volume = 134 Å³ per cell
Energy = -14.031 eV per formula unit
SG = F-43m (216)
Calculated formation energy = -0.2 meV/atom

=====

Compound: CdFe2PRh
Source: Alexandria via LeMat-Bulk
Functional: GGA-PBE
Structure: optimized geometry Values from VASP.

Structure (Quantum ESPRESSO input):
```
&SYSTEM
  ibrav = 0, nat = 5, ntyp = 4
/
ATOMIC_SPECIES
Cd 112.41 Cd.upf
Fe 55.84 Fe.upf
Rh 102.91 Rh.upf
P 30.97 P.upf
ATOMIC_POSITIONS angstrom
Cd 1.290 -1.362 -1.676
Fe -0.398 -1.830 1.181
Fe -1.858 -0.341 -1.154
Rh 0.000 0.000 0.000
P -0.965 -3.533 -1.649
CELL_PARAMETERS angstrom
-3.717 -0.681 -2.308
2.581 -2.724 -3.352
-0.795 -3.660 2.361
```

Computed properties:
Calculated volume = 99 Å³ per cell
Energy = -22.907 eV per formula unit
SG = P4/mmm (123)
Calculated formation energy = 1539.0 meV/atom

=====

Q: calculated volume of number 6 (CaMn2Os)?
A: 73 Å³ per cell